# GGA+U MnCrHO2, optimized geometry
# total energy: -6.6074 eV per atom
# total magnetization: 9.47 μB/f.u.
data_MnCrHO2
_chemical_formula_sum 'Mn2 Cr2 H2 O4'
_symmetry_space_group_name_H-M 'C 1 m 1'
_symmetry_Int_Tables_number 8
_symmetry_space_group_name_Hall 'C -2y'
_cell_length_a 9.193
_cell_length_b 4.062
_cell_length_c 3.492
_cell_angle_alpha 90.00
_cell_angle_beta 91.59
_cell_angle_gamma 90.00
loop_
_atom_site_label
_atom_site_type_symbol
_atom_site_fract_x
_atom_site_fract_y
_atom_site_fract_z
_atom_site_occupancy
Mn1 Mn 0.000 0.000 0.000 1
Cr1 Cr 0.172 0.500 0.514 1
H1 H 0.357 0.000 0.740 1
O1 O 0.137 0.000 0.499 1
O2 O 0.452 0.000 0.878 1